(1)
Density functional theory data (GGA-PBE) for Ca3C after structural relaxation.

Values from the calculation:
The density of states at the Fermi level is 3.81 states/eV/cell. The energy above the lowest structure with this stoichiometry is 1025 meV per atom. The calculation puts the formation enthalpy at 0 K at 1272 meV/atom. The calculation puts the electronic total energy at -10.141 eV per formula unit.

Cell and atoms, written as CIF:
```
data_Ca3C
_cell_length_a 5.976
_cell_length_b 5.976
_cell_length_c 5.976
_cell_angle_alpha 115.93
_cell_angle_beta 115.93
_cell_angle_gamma 115.93
_symmetry_space_group_name_H-M 'P 1'
_symmetry_Int_Tables_number 1
_symmetry_space_group_name_Hall 'P 1'
loop_
_atom_site_label
_atom_site_fract_x
_atom_site_fract_y
_atom_site_fract_z
_atom_site_occupancy
Ca1 0.000 0.500 0.500 1
Ca2 0.500 0.000 0.500 1
Ca3 0.500 0.500 0.000 1
C1 0.000 0.000 0.000 1
```

(2)
Density functional theory data (GGA-PBE) for CaBe2Au5 after structural relaxation.

Values from the calculation:
The density of states at the Fermi level is 2.49 states/eV/cell. The energy above the lowest structure with this stoichiometry is 0 meV per atom. The calculation puts the formation enthalpy at 0 K at -330 meV/atom. The calculation puts the electronic total energy at -28.478 eV per formula unit.

Cell and atoms, written as CIF:
```
data_CaBe2Au5
_cell_length_a 7.896
_cell_length_b 7.896
_cell_length_c 7.896
_cell_angle_alpha 148.69
_cell_angle_beta 148.69
_cell_angle_gamma 44.86
_symmetry_space_group_name_H-M 'P 1'
_symmetry_Int_Tables_number 1
_symmetry_space_group_name_Hall 'P 1'
loop_
_atom_site_label
_atom_site_fract_x
_atom_site_fract_y
_atom_site_fract_z
_atom_site_occupancy
Ca1 0.000 0.000 0.000 1
Be1 0.254 0.254 0.000 1
Be2 0.746 0.746 0.000 1
Au1 0.153 0.653 0.500 1
Au2 0.347 0.847 0.500 1
Au3 0.500 0.500 0.000 1
Au4 0.653 0.153 0.500 1
Au5 0.847 0.347 0.500 1
```

(3)
Density functional theory data (GGA-PBE) for AgPb3Br6Cl2 after structural relaxation.

Values from the calculation:
The density of states at the Fermi level is 8.62 states/eV/cell. Its uncorrected formation energy is -0.76 eV per atom. The calculation puts the electronic total energy at -36.822 eV per formula unit.

Cell and atoms, written as CIF:
```
data_AgPb3Br6Cl2
_cell_length_a 8.465
_cell_length_b 8.465
_cell_length_c 6.613
_cell_angle_alpha 91.85
_cell_angle_beta 91.85
_cell_angle_gamma 61.73
_symmetry_space_group_name_H-M 'P 1'
_symmetry_Int_Tables_number 1
_symmetry_space_group_name_Hall 'P 1'
loop_
_atom_site_label
_atom_site_fract_x
_atom_site_fract_y
_atom_site_fract_z
_atom_site_occupancy
Ag1 0.000 0.000 0.000 1
Pb1 0.000 0.500 0.000 1
Pb2 0.500 0.000 0.000 1
Pb3 0.500 0.500 0.500 1
Br1 0.143 0.143 0.765 1
Br2 0.165 0.673 0.746 1
Br3 0.327 0.835 0.254 1
Br4 0.673 0.165 0.746 1
Br5 0.835 0.327 0.254 1
Br6 0.857 0.857 0.235 1
Cl1 0.330 0.330 0.248 1
Cl2 0.670 0.670 0.752 1
```

(4)
Density functional theory data (GGA-PBE) for Sr2TlRh after structural relaxation.

Values from the calculation:
The density of states at the Fermi level is 4.17 states/eV/cell. The energy above the lowest structure with this stoichiometry is 108 meV per atom. The calculation puts the formation enthalpy at 0 K at -183 meV/atom. The calculation puts the electronic total energy at -13.814 eV per formula unit.

Cell and atoms, written as CIF:
```
data_Sr2TlRh
_cell_length_a 8.097
_cell_length_b 8.097
_cell_length_c 8.097
_cell_angle_alpha 96.24
_cell_angle_beta 96.24
_cell_angle_gamma 141.52
_symmetry_space_group_name_H-M 'P 1'
_symmetry_Int_Tables_number 1
_symmetry_space_group_name_Hall 'P 1'
loop_
_atom_site_label
_atom_site_fract_x
_atom_site_fract_y
_atom_site_fract_z
_atom_site_occupancy
Sr1 0.375 0.212 0.337 1
Sr2 0.788 0.125 0.163 1
Sr3 0.875 0.038 0.663 1
Sr4 0.962 0.625 0.837 1
Tl1 0.250 0.750 0.500 1
Tl2 0.500 0.500 0.000 1
Rh1 0.000 0.000 0.000 1
Rh2 0.750 0.250 0.500 1
```

(5)
Density functional theory data (GGA-PBE) for NdPuAu3 after structural relaxation.

Values from the calculation:
The density of states at the Fermi level is 29.16 states/eV/cell. The calculation puts the formation enthalpy at 0 K at -502 meV/atom. The calculation puts the electronic total energy at -31.444 eV per formula unit.

Cell and atoms, written as CIF:
```
data_NdPuAu3
_cell_length_a 5.842
_cell_length_b 7.154
_cell_length_c 6.053
_cell_angle_alpha 90.00
_cell_angle_beta 101.49
_cell_angle_gamma 90.00
_symmetry_space_group_name_H-M 'P 1'
_symmetry_Int_Tables_number 1
_symmetry_space_group_name_Hall 'P 1'
loop_
_atom_site_label
_atom_site_fract_x
_atom_site_fract_y
_atom_site_fract_z
_atom_site_occupancy
Nd1 0.154 0.250 0.280 1
Nd2 0.846 0.750 0.720 1
Pu1 0.412 0.750 0.112 1
Pu2 0.588 0.250 0.888 1
Au1 0.051 0.250 0.766 1
Au2 0.323 0.559 0.626 1
Au3 0.323 0.941 0.626 1
Au4 0.677 0.059 0.374 1
Au5 0.677 0.441 0.374 1
Au6 0.949 0.750 0.234 1
```

(6)
Density functional theory data (GGA-PBE) for TiVSeBr2 after structural relaxation.

Values from the calculation:
The density of states at the Fermi level is 6.90 states/eV/cell. The energy above the lowest structure with this stoichiometry is 0 meV per atom. Its uncorrected formation energy is -0.06 eV per atom. The calculation puts the electronic total energy at -24.145 eV per formula unit.

Cell and atoms, written as CIF:
```
data_TiVSeBr2
_cell_length_a 5.081
_cell_length_b 5.081
_cell_length_c 5.072
_cell_angle_alpha 90.00
_cell_angle_beta 90.00
_cell_angle_gamma 90.00
_symmetry_space_group_name_H-M 'P 1'
_symmetry_Int_Tables_number 1
_symmetry_space_group_name_Hall 'P 1'
loop_
_atom_site_label
_atom_site_fract_x
_atom_site_fract_y
_atom_site_fract_z
_atom_site_occupancy
Ti1 0.000 0.000 0.000 1
V1 0.500 0.500 0.500 1
Se1 0.000 0.000 0.500 1
Br1 0.000 0.500 0.000 1
Br2 0.500 0.000 0.000 1
```

(7)
Density functional theory data (GGA-PBE) for Tl4In2HgBi after structural relaxation.

Values from the calculation:
The density of states at the Fermi level is 2.36 states/eV/cell. The calculation puts the formation enthalpy at 0 K at 122 meV/atom. The calculation puts the electronic total energy at -18.149 eV per formula unit.

Cell and atoms, written as CIF:
```
data_Tl4In2HgBi
_cell_length_a 4.633
_cell_length_b 4.633
_cell_length_c 12.065
_cell_angle_alpha 90.00
_cell_angle_beta 90.00
_cell_angle_gamma 90.00
_symmetry_space_group_name_H-M 'P 1'
_symmetry_Int_Tables_number 1
_symmetry_space_group_name_Hall 'P 1'
loop_
_atom_site_label
_atom_site_fract_x
_atom_site_fract_y
_atom_site_fract_z
_atom_site_occupancy
Tl1 0.000 0.500 0.191 1
Tl2 0.000 0.500 0.809 1
Tl3 0.500 0.000 0.191 1
Tl4 0.500 0.000 0.809 1
In1 0.000 0.000 0.381 1
In2 0.000 0.000 0.619 1
Hg1 0.500 0.500 0.000 1
Bi1 0.500 0.500 0.500 1
```

(8)
Density functional theory data (GGA-PBE) for NbSiPt after structural relaxation.

Values from the calculation:
The density of states at the Fermi level is 2.05 states/eV/cell. Its uncorrected formation energy is -0.66 eV per atom. The calculation puts the electronic total energy at -23.508 eV per formula unit.

Cell and atoms, written as CIF:
```
data_NbSiPt
_cell_length_a 4.268
_cell_length_b 4.268
_cell_length_c 2.963
_cell_angle_alpha 90.00
_cell_angle_beta 90.00
_cell_angle_gamma 120.00
_symmetry_space_group_name_H-M 'P 1'
_symmetry_Int_Tables_number 1
_symmetry_space_group_name_Hall 'P 1'
loop_
_atom_site_label
_atom_site_fract_x
_atom_site_fract_y
_atom_site_fract_z
_atom_site_occupancy
Nb1 0.000 0.000 0.000 1
Si1 0.333 0.667 0.500 1
Pt1 0.667 0.333 0.500 1
```

(9)
Density functional theory data (GGA-PBE) for AcTl2Ir3O12 after structural relaxation.

Values from the calculation:
The density of states at the Fermi level is 12.36 states/eV/cell. Its uncorrected formation energy is -0.98 eV per atom. The calculation puts the electronic total energy at -112.544 eV per formula unit.

Cell and atoms, written as CIF:
```
data_AcTl2Ir3O12
_cell_length_a 6.921
_cell_length_b 6.921
_cell_length_c 6.921
_cell_angle_alpha 64.73
_cell_angle_beta 64.73
_cell_angle_gamma 64.73
_symmetry_space_group_name_H-M 'P 1'
_symmetry_Int_Tables_number 1
_symmetry_space_group_name_Hall 'P 1'
loop_
_atom_site_label
_atom_site_fract_x
_atom_site_fract_y
_atom_site_fract_z
_atom_site_occupancy
Ac1 0.000 0.000 0.000 1
Tl1 0.391 0.391 0.391 1
Tl2 0.609 0.609 0.609 1
Ir1 0.000 0.000 0.500 1
Ir2 0.000 0.500 0.000 1
Ir3 0.500 0.000 0.000 1
O1 0.117 0.730 0.730 1
O2 0.139 0.139 0.559 1
O3 0.139 0.559 0.139 1
O4 0.270 0.270 0.883 1
O5 0.270 0.883 0.270 1
O6 0.441 0.861 0.861 1
O7 0.559 0.139 0.139 1
O8 0.730 0.117 0.730 1
O9 0.730 0.730 0.117 1
O10 0.861 0.441 0.861 1
O11 0.861 0.861 0.441 1
O12 0.883 0.270 0.270 1
```

(10)
Density functional theory data (GGA-PBE) for PmPu6S8 after structural relaxation.

Values from the calculation:
The density of states at the Fermi level is 52.54 states/eV/cell. Its uncorrected formation energy is -1.78 eV per atom. The calculation puts the electronic total energy at -150.520 eV per formula unit.

Cell and atoms, written as CIF:
```
data_PmPu6S8
_cell_length_a 7.947
_cell_length_b 7.947
_cell_length_c 7.947
_cell_angle_alpha 60.00
_cell_angle_beta 60.00
_cell_angle_gamma 60.00
_symmetry_space_group_name_H-M 'P 1'
_symmetry_Int_Tables_number 1
_symmetry_space_group_name_Hall 'P 1'
loop_
_atom_site_label
_atom_site_fract_x
_atom_site_fract_y
_atom_site_fract_z
_atom_site_occupancy
Pm1 0.000 0.000 0.000 1
Pu1 0.000 0.000 0.500 1
Pu2 0.000 0.500 0.000 1
Pu3 0.000 0.500 0.500 1
Pu4 0.500 0.000 0.000 1
Pu5 0.500 0.000 0.500 1
Pu6 0.500 0.500 0.000 1
S1 0.250 0.250 0.250 1
S2 0.251 0.251 0.749 1
S3 0.251 0.749 0.251 1
S4 0.251 0.749 0.749 1
S5 0.749 0.251 0.251 1
S6 0.749 0.251 0.749 1
S7 0.749 0.749 0.251 1
S8 0.750 0.750 0.750 1
```

(11)
Density functional theory data (GGA-PBE) for TiOsPdF2 after structural relaxation.

Values from the calculation:
The density of states at the Fermi level is 9.31 states/eV/cell. Its uncorrected formation energy is 0.01 eV per atom. The calculation puts the electronic total energy at -28.007 eV per formula unit.

Cell and atoms, written as CIF:
```
data_TiOsPdF2
_cell_length_a 3.936
_cell_length_b 3.936
_cell_length_c 5.388
_cell_angle_alpha 90.00
_cell_angle_beta 90.00
_cell_angle_gamma 90.00
_symmetry_space_group_name_H-M 'P 1'
_symmetry_Int_Tables_number 1
_symmetry_space_group_name_Hall 'P 1'
loop_
_atom_site_label
_atom_site_fract_x
_atom_site_fract_y
_atom_site_fract_z
_atom_site_occupancy
Ti1 0.000 0.000 0.000 1
Os1 0.500 0.500 0.500 1
Pd1 0.500 0.500 0.000 1
F1 0.000 0.500 0.500 1
F2 0.500 0.000 0.500 1
```

(12)
Density functional theory data (GGA-PBE) for Ca5Sn3 after structural relaxation.

Values from the calculation:
The density of states at the Fermi level is 11.25 states/eV/cell. The energy above the lowest structure with this stoichiometry is 0 meV per atom. The calculation puts the formation enthalpy at 0 K at -649 meV/atom. The calculation puts the electronic total energy at -27.211 eV per formula unit.

Cell and atoms, written as CIF:
```
data_Ca5Sn3
_cell_length_a 9.637
_cell_length_b 9.637
_cell_length_c 9.637
_cell_angle_alpha 129.98
_cell_angle_beta 129.98
_cell_angle_gamma 73.44
_symmetry_space_group_name_H-M 'P 1'
_symmetry_Int_Tables_number 1
_symmetry_space_group_name_Hall 'P 1'
loop_
_atom_site_label
_atom_site_fract_x
_atom_site_fract_y
_atom_site_fract_z
_atom_site_occupancy
Ca1 0.000 0.000 0.000 1
Ca2 0.032 0.532 0.850 1
Ca3 0.182 0.032 0.500 1
Ca4 0.318 0.818 0.850 1
Ca5 0.468 0.318 0.500 1
Ca6 0.500 0.500 0.000 1
Ca7 0.532 0.682 0.500 1
Ca8 0.682 0.182 0.150 1
Ca9 0.818 0.968 0.500 1
Ca10 0.968 0.468 0.150 1
Sn1 0.126 0.374 0.500 1
Sn2 0.250 0.250 0.000 1
Sn3 0.374 0.874 0.249 1
Sn4 0.626 0.126 0.751 1
Sn5 0.750 0.750 0.000 1
Sn6 0.874 0.626 0.500 1
```